Version a
Crystalline Na2CoP2O7 at its relaxed geometry, computed with PBE with a Hubbard U.

Values from the calculation:
**Volume**: 11.59 Å³/atom

a = 6.3223 Å, b = 9.2946 Å, c = 10.8974 Å
α = 65.00°, β = 86.71°, γ = 73.95°
With the nearest neighbours (Å) after each atom.
Fractional coordinates of all 48 atoms:
O 0.4054 0.3238 0.9491  1 P 1.52
O 0.7926 0.8787 0.0428  1 P 1.52
O 0.0438 0.5313 0.7108  1 P 1.52
O 0.2110 0.1131 0.9615  1 P 1.52
O 0.1082 0.9342 0.8443  1 P 1.52
O 0.0469 0.0964 0.3484  1 P 1.51
O 0.9467 0.8953 0.6547  1 P 1.51
O 0.7846 0.5508 0.5306  2 P 1.61
O 0.6120 0.6609 0.0495  1 P 1.53
O 0.2992 0.6851 0.8014  1 P 1.53
O 0.0869 0.2835 0.0980  2 P 1.64-1.69
O 0.4581 0.2867 0.6894  1 P 1.55
O 0.4360 0.0611 0.1682  1 P 1.52
O 0.7106 0.3166 0.1880  1 P 1.54
O 0.2284 0.4509 0.4744  2 P 1.60-1.62
O 0.5761 0.9280 0.8345  1 P 1.52
O 0.0183 0.7196 0.3040  1 P 1.52
O 0.3809 0.6804 0.5450  1 P 1.51
O 0.8972 0.0601 0.1535  1 P 1.52
O 0.9625 0.4493 0.3117  1 P 1.51
O 0.6376 0.8615 0.4356  1 P 1.55
O 0.3568 0.1369 0.5668  1 P 1.54
O 0.3054 0.5333 0.2258  1 P 1.54
O 0.9349 0.7059 0.9092  2 P 1.66-1.68
O 0.5477 0.7042 0.3162  1 P 1.54
O 0.6914 0.4622 0.7758  1 P 1.54
O 0.9813 0.2735 0.6989  1 P 1.52
O 0.6224 0.3086 0.4588  1 P 1.51
Co 0.3690 0.4932 0.7384  6 O 2.01-2.15
Co 0.7226 0.8889 0.2237  5 O 1.98-2.15
Co 0.2816 0.1015 0.7824  5 O 2.01-2.17
Co 0.6377 0.4978 0.2659  6 O 2.02-2.18
P 0.7139 0.8001 0.9641  4 O 1.52-1.66
P 0.2988 0.1898 0.0387  4 O 1.52-1.64
P 0.5721 0.7050 0.4559  4 O 1.51-1.61
P 0.0795 0.8142 0.7896  4 O 1.51-1.68
P 0.9257 0.1792 0.2096  4 O 1.51-1.69
P 0.1180 0.5426 0.3208  4 O 1.51-1.62
P 0.4307 0.2896 0.5482  4 O 1.51-1.60
P 0.8853 0.4490 0.6852  4 O 1.52-1.61
Na 0.8126 0.4823 0.9523  4 O 2.21-2.38
Na 0.0257 0.8173 0.4782  5 O 2.24-2.43
Na 0.1916 0.8518 0.1056  4 O 2.30-2.57
Na 0.4064 0.1419 0.3428  4 O 2.30-2.43
Na 0.7804 0.1474 0.8912  3 O 2.32-2.55
Na 0.3640 0.5154 0.0319  4 O 2.19-2.40
Na 0.9747 0.1756 0.5261  5 O 2.22-2.43
Na 0.5765 0.8565 0.6575  4 O 2.29-2.46


Version b
Crystalline Na2CoP2O7 at its relaxed geometry, computed with PBE with a Hubbard U.

Values from the calculation:
**Volume**: 12.21 Å³/atom

a = 15.2387 Å, b = 10.0822 Å, c = 7.6268 Å
α = 90.00°, β = 90.00°, γ = 90.00°
With the nearest neighbours (Å) after each atom.
Fractional coordinates of all 96 atoms:
O 0.1828 0.4088 0.3753  1 P 1.51
O 0.6463 0.8899 0.5676  2 P 1.63
O 0.1951 0.9148 0.1998  1 P 1.53
O 0.5692 0.0997 0.6802  1 P 1.51
O 0.1961 0.1230 0.3959  1 P 1.51
O 0.1360 0.6287 0.2388  1 P 1.54
O 0.2184 0.1173 0.8922  1 P 1.53
O 0.9308 0.5997 0.1802  1 P 1.51
O 0.3172 0.9088 0.8753  1 P 1.51
O 0.2816 0.6173 0.3922  1 P 1.53
O 0.5178 0.1096 0.0902  1 P 1.54
O 0.4822 0.8904 0.5902  1 P 1.54
O 0.0965 0.8985 0.7998  1 P 1.54
O 0.6828 0.0912 0.3753  1 P 1.51
O 0.6053 0.5840 0.4694  2 P 1.64
O 0.4308 0.9003 0.1802  1 P 1.51
O 0.8640 0.3713 0.7388  1 P 1.54
O 0.4226 0.1170 0.3572  1 P 1.54
O 0.4529 0.6140 0.1446  1 P 1.51
O 0.0692 0.4003 0.6802  1 P 1.51
O 0.8947 0.0840 0.9694  2 P 1.64
O 0.1463 0.6101 0.5676  2 P 1.63
O 0.0471 0.1140 0.6446  1 P 1.51
O 0.4620 0.6053 0.6128  1 P 1.54
O 0.4035 0.3985 0.2998  1 P 1.54
O 0.6360 0.8713 0.2388  1 P 1.54
O 0.3049 0.4148 0.6998  1 P 1.53
O 0.0380 0.1053 0.1128  1 P 1.54
O 0.5965 0.6015 0.7998  1 P 1.54
O 0.3039 0.6230 0.8959  1 P 1.51
O 0.9620 0.8947 0.6128  1 P 1.54
O 0.5471 0.3860 0.6446  1 P 1.51
O 0.3640 0.1287 0.7388  1 P 1.54
O 0.0178 0.3904 0.0902  1 P 1.54
O 0.3947 0.4160 0.9694  2 P 1.64
O 0.8039 0.8770 0.8959  1 P 1.51
O 0.0774 0.6170 0.8572  1 P 1.54
O 0.8049 0.0852 0.6998  1 P 1.53
O 0.9226 0.3830 0.3572  1 P 1.54
O 0.5380 0.3947 0.1128  1 P 1.54
O 0.7697 0.5933 0.4933  1 P 1.54
O 0.9822 0.6096 0.5902  1 P 1.54
O 0.6961 0.3770 0.3959  1 P 1.51
O 0.2697 0.9067 0.4933  1 P 1.54
O 0.9035 0.1015 0.2998  1 P 1.54
O 0.7303 0.0933 0.9933  1 P 1.54
O 0.7816 0.8827 0.3922  1 P 1.53
O 0.8537 0.3899 0.0676  2 P 1.63
O 0.3537 0.1101 0.0676  2 P 1.63
O 0.1053 0.9160 0.4694  2 P 1.64
O 0.6951 0.5852 0.1998  1 P 1.53
O 0.8172 0.5912 0.8753  1 P 1.51
O 0.7184 0.3827 0.8922  1 P 1.53
O 0.5774 0.8830 0.8572  1 P 1.54
O 0.9529 0.8860 0.1446  1 P 1.51
O 0.2303 0.4067 0.9933  1 P 1.54
Na 0.9462 0.7494 0.8783  6 O 2.41-2.67
Na 0.9860 0.2543 0.8424  5 O 2.27-2.41
Na 0.6928 0.2399 0.6535  5 O 2.34-2.60
Na 0.2237 0.7688 0.7289  5 O 2.30-2.40
Na 0.4462 0.7506 0.8783  6 O 2.41-2.67
Na 0.7237 0.7312 0.7289  5 O 2.30-2.40
Na 0.8072 0.7399 0.1535  5 O 2.34-2.60
Na 0.3072 0.7601 0.1535  5 O 2.34-2.60
Na 0.2763 0.2688 0.2289  5 O 2.30-2.40
Na 0.5140 0.7543 0.3424  5 O 2.27-2.41
Na 0.7763 0.2312 0.2289  5 O 2.30-2.40
Na 0.1928 0.2601 0.6535  5 O 2.34-2.60
Na 0.0538 0.2506 0.3783  6 O 2.41-2.67
Na 0.5538 0.2494 0.3783  6 O 2.41-2.67
Na 0.0140 0.7457 0.3424  5 O 2.27-2.41
Na 0.4860 0.2457 0.8424  5 O 2.27-2.41
P 0.0638 0.5495 0.6788  4 O 1.51-1.63
P 0.9362 0.4505 0.1788  4 O 1.51-1.63
P 0.1888 0.5585 0.3836  4 O 1.51-1.63
P 0.6967 0.5268 0.3854  4 O 1.51-1.64
P 0.1967 0.9732 0.3854  4 O 1.51-1.64
P 0.4362 0.0495 0.1788  4 O 1.51-1.63
P 0.9493 0.0356 0.1427  4 O 1.51-1.64
P 0.8033 0.0268 0.8854  4 O 1.51-1.64
P 0.8112 0.4415 0.8836  4 O 1.51-1.63
P 0.4493 0.4644 0.1427  4 O 1.51-1.64
P 0.6888 0.9415 0.3836  4 O 1.51-1.63
P 0.5507 0.5356 0.6427  4 O 1.51-1.64
P 0.0507 0.9644 0.6427  4 O 1.51-1.64
P 0.3033 0.4732 0.8854  4 O 1.51-1.64
P 0.3112 0.0585 0.8836  4 O 1.51-1.63
P 0.5638 0.9505 0.6788  4 O 1.51-1.63
Co 0.1207 0.5019 0.0446  4 O 1.96-1.97
Co 0.8793 0.4981 0.5446  4 O 1.96-1.97
Co 0.8675 0.9990 0.5068  4 O 1.96
Co 0.3793 0.0019 0.5446  4 O 1.96-1.97
Co 0.6207 0.9981 0.0446  4 O 1.96-1.97
Co 0.1325 0.0010 0.0068  4 O 1.96
Co 0.3675 0.5010 0.5068  4 O 1.96
Co 0.6325 0.4990 0.0068  4 O 1.96


Short version: version a is the least stable of them.


Version a
Crystalline NaCoSeO at its relaxed geometry, computed with PBE with a Hubbard U.

Values from the calculation:
**Volume**: 19.19 Å³/atom

a = 5.9175 Å, b = 3.5494 Å, c = 7.3080 Å
α = 90.00°, β = 90.00°, γ = 90.00°
With the nearest neighbours (Å) after each atom.
Fractional coordinates of all 8 atoms:
Co 0.0218 0.0000 0.5995  2 O 1.84-1.85
Co 0.5218 0.0000 0.4005  2 O 1.84-1.85
Na 0.1251 0.5000 0.2072  2 O 2.31
Na 0.6251 0.5000 0.7928  2 O 2.31
O 0.2085 0.0000 0.3989  2 Co 1.84-1.85
O 0.7085 0.0000 0.6011  2 Co 1.84-1.85
Se 0.6357 0.5000 0.1967  2 Co 2.41
Se 0.1357 0.5000 0.8033  2 Co 2.41


Version b
Crystalline NaCoSeO at its relaxed geometry, computed with PBE with a Hubbard U.

Values from the calculation:
**Volume**: 17.58 Å³/atom

a = 5.5815 Å, b = 5.3845 Å, c = 10.2389 Å
α = 90.00°, β = 113.89°, γ = 90.00°
With the nearest neighbours (Å) after each atom.
Fractional coordinates of all 16 atoms:
O 0.7802 0.5363 0.0455  4 Co 1.98-2.15
O 0.2681 0.5336 0.0457  4 Co 2.01-2.11
O 0.2198 0.0363 0.9545  4 Co 1.98-2.15
O 0.7319 0.0336 0.9543  4 Co 2.01-2.11
Co 0.4845 0.2941 0.9714  4 O 1.98-2.11
Co 0.0367 0.8102 0.0616  4 O 2.01-2.15
Co 0.5155 0.7941 0.0286  4 O 1.98-2.11
Co 0.9633 0.3102 0.9384  4 O 2.01-2.15
Se 0.7644 0.9738 0.3024  1 Se 2.60, 1 Co 2.75
Se 0.3224 0.8965 0.3243  1 Co 2.55, 1 Se 2.60, 1 Na 2.82
Se 0.6776 0.3965 0.6757  1 Co 2.55, 1 Se 2.60, 1 Na 2.82
Se 0.2356 0.4738 0.6976  1 Se 2.60, 1 Co 2.75
Na 0.8819 0.8773 0.7603  1 O 2.28
Na 0.2566 0.9782 0.5844  5 Se 2.87-3.11
Na 0.7434 0.4782 0.4156  5 Se 2.87-3.11
Na 0.1181 0.3773 0.2397  1 O 2.28


Version c
Crystalline NaCoSeO at its relaxed geometry, computed with PBE with a Hubbard U.

Values from the calculation:
**Volume**: 15.56 Å³/atom

a = 6.8726 Å, b = 6.4138 Å, c = 5.7999 Å
α = 90.00°, β = 103.12°, γ = 90.00°
With the nearest neighbours (Å) after each atom.
Fractional coordinates of all 16 atoms:
Na 0.1194 0.7400 0.5194  2 O 2.32-2.45
Na 0.8806 0.2600 0.4806  2 O 2.32-2.45
Na 0.8806 0.2400 0.9806  2 O 2.32-2.45
Na 0.1194 0.7600 0.0194  2 O 2.32-2.45
O 0.6158 0.1466 0.1464  2 Co 1.93-1.97
O 0.3842 0.8534 0.8536  2 Co 1.93-1.97
O 0.3842 0.6466 0.3536  2 Co 1.93-1.97
O 0.6158 0.3534 0.6464  2 Co 1.93-1.97
Co 0.4880 0.1137 0.7637  2 O 1.93-1.97
Co 0.4880 0.3863 0.2637  2 O 1.93-1.97
Co 0.5120 0.6137 0.7363  2 O 1.93-1.97
Co 0.5120 0.8863 0.2363  2 O 1.93-1.97
Se 0.7552 0.6209 0.1567  3 Co 2.50-2.63
Se 0.2448 0.3791 0.8433  3 Co 2.50-2.63
Se 0.2448 0.1209 0.3433  3 Co 2.50-2.63
Se 0.7552 0.8791 0.6567  3 Co 2.50-2.63


Short version: version c is the least stable of them.